PaAl4Fe | GGA-PBE | optimized geometry

Lattice parameters (Å, degrees): 7.455 4.091 6.639 90.00 90.00 90.00
Sites, in units of the cell vectors:
Pa  0.250  0.000  0.111
Pa  0.750  0.000  0.889
Al  0.000  0.000  0.500
Al  0.065  0.500  0.807
Al  0.250  0.500  0.456
Al  0.435  0.500  0.807
Al  0.500  0.000  0.500
Al  0.565  0.500  0.193
Al  0.750  0.500  0.544
Al  0.935  0.500  0.193
Fe  0.250  0.000  0.726
Fe  0.750  0.000  0.274

Values from the calculation:
Calculated total energy ... -5.832 eV/atom
V ... 202.5 Å³/cell
Space-group type ... Pmma, No. 51
Crystal system ... orthorhombic

***

AlFePb | GGA-PBE | optimized geometry

Lattice parameters (Å, degrees): 4.479 4.479 4.479 60.00 60.00 60.00
Sites, in units of the cell vectors:
Al  0.000  0.000  0.000
Fe  0.750  0.750  0.750
Pb  0.250  0.250  0.250

Values from the calculation:
Calculated total energy ... -4.621 eV/atom
V ... 63.6 Å³/cell
Space-group type ... F-43m, No. 216
Crystal system ... cubic

***

Al2FePb | GGA-PBE | optimized geometry

Lattice parameters (Å, degrees): 4.610 4.610 4.610 60.00 60.00 60.00
Sites, in units of the cell vectors:
Al  0.000  0.000  0.000
Al  0.250  0.250  0.250
Fe  0.750  0.750  0.750
Pb  0.500  0.500  0.500

Values from the calculation:
Calculated total energy ... -4.333 eV/atom
V ... 69.3 Å³/cell
Space-group type ... F-43m, No. 216
Crystal system ... cubic

***

Al2FePd | GGA-PBE | optimized geometry

Lattice parameters (Å, degrees): 4.307 4.307 4.307 60.00 60.00 60.00
Sites, in units of the cell vectors:
Al  0.000  0.000  0.000
Al  0.250  0.250  0.250
Fe  0.750  0.750  0.750
Pd  0.500  0.500  0.500

Values from the calculation:
Calculated total energy ... -5.481 eV/atom
V ... 56.5 Å³/cell
Space-group type ... F-43m, No. 216
Crystal system ... cubic